Entry 1:
BTeN | PBE | relaxed

```
data_BTeN
_space_group_name_H-M_alt 'P 1'
_space_group_IT_number 1
_space_group_name_Hall 'P 1'
_cell_length_a 9.517
_cell_length_b 9.332
_cell_length_c 4.162
_cell_angle_alpha 79.74
_cell_angle_beta 74.77
_cell_angle_gamma 25.49
loop_
_atom_site_label
_atom_site_type_symbol
_atom_site_fract_x
_atom_site_fract_y
_atom_site_fract_z
_atom_site_occupancy
B1 B 0.250 0.750 0.250 1
B2 B 0.750 0.250 0.750 1
Te1 Te 0.220 0.220 0.780 1
Te2 Te 0.780 0.780 0.220 1
N1 N 0.000 0.000 0.500 1
N2 N 0.500 0.500 0.000 1
```

## Properties
VASP energy, eV/atom: -6.27



Entry 2:
Y3PbO | PBE | relaxed

```
data_Y3PbO
_space_group_name_H-M_alt 'P 1'
_space_group_IT_number 1
_space_group_name_Hall 'P 1'
_cell_length_a 8.433
_cell_length_b 8.433
_cell_length_c 8.433
_cell_angle_alpha 43.33
_cell_angle_beta 43.33
_cell_angle_gamma 43.33
loop_
_atom_site_label
_atom_site_type_symbol
_atom_site_fract_x
_atom_site_fract_y
_atom_site_fract_z
_atom_site_occupancy
Y1 Y 0.096 0.785 0.445 1
Y2 Y 0.215 0.555 0.904 1
Y3 Y 0.445 0.096 0.785 1
Y4 Y 0.555 0.904 0.215 1
Y5 Y 0.785 0.445 0.096 1
Y6 Y 0.904 0.215 0.555 1
Pb1 Pb 0.336 0.336 0.336 1
Pb2 Pb 0.664 0.664 0.664 1
O1 O 0.163 0.163 0.163 1
O2 O 0.837 0.837 0.837 1
```

## Properties
VASP energy, eV/atom: -6.76



Entry 3:
PuPaGa4 | PBE | relaxed

```
data_PuPaGa4
_space_group_name_H-M_alt 'P 1'
_space_group_IT_number 1
_space_group_name_Hall 'P 1'
_cell_length_a 4.660
_cell_length_b 4.660
_cell_length_c 6.356
_cell_angle_alpha 90.00
_cell_angle_beta 90.00
_cell_angle_gamma 120.00
loop_
_atom_site_label
_atom_site_type_symbol
_atom_site_fract_x
_atom_site_fract_y
_atom_site_fract_z
_atom_site_occupancy
Pu1 Pu 0.000 0.000 0.000 1
Pa1 Pa 0.000 0.000 0.500 1
Ga1 Ga 0.333 0.667 0.246 1
Ga2 Ga 0.333 0.667 0.754 1
Ga3 Ga 0.667 0.333 0.246 1
Ga4 Ga 0.667 0.333 0.754 1
```

## Properties
Energy above the lowest structure with this stoichiometry, kJ/mol of formula units: 24.3
DFT formation energy, eV/atom: -0.35



Entry 4:
CeCd3Hg2 | PBE | relaxed

```
data_CeCd3Hg2
_space_group_name_H-M_alt 'P 1'
_space_group_IT_number 1
_space_group_name_Hall 'P 1'
_cell_length_a 8.989
_cell_length_b 8.989
_cell_length_c 7.736
_cell_angle_alpha 111.19
_cell_angle_beta 111.19
_cell_angle_gamma 30.65
loop_
_atom_site_label
_atom_site_type_symbol
_atom_site_fract_x
_atom_site_fract_y
_atom_site_fract_z
_atom_site_occupancy
Ce1 Ce 0.120 0.120 0.188 1
Ce2 Ce 0.880 0.880 0.812 1
Cd1 Cd 0.070 0.070 0.690 1
Cd2 Cd 0.304 0.304 0.073 1
Cd3 Cd 0.371 0.371 0.489 1
Cd4 Cd 0.629 0.629 0.511 1
Cd5 Cd 0.696 0.696 0.927 1
Cd6 Cd 0.930 0.930 0.310 1
Hg1 Hg 0.239 0.239 0.664 1
Hg2 Hg 0.484 0.484 0.170 1
Hg3 Hg 0.516 0.516 0.830 1
Hg4 Hg 0.761 0.761 0.336 1
```

## Properties
Energy above the lowest structure with this stoichiometry, kJ/mol of formula units: 0.0
DFT formation energy, eV/atom: -0.18



Entry 5:
Zr2Fe2Tc | PBE | relaxed

```
data_Zr2Fe2Tc
_space_group_name_H-M_alt 'P 1'
_space_group_IT_number 1
_space_group_name_Hall 'P 1'
_cell_length_a 7.316
_cell_length_b 7.316
_cell_length_c 3.005
_cell_angle_alpha 90.00
_cell_angle_beta 90.00
_cell_angle_gamma 90.00
loop_
_atom_site_label
_atom_site_type_symbol
_atom_site_fract_x
_atom_site_fract_y
_atom_site_fract_z
_atom_site_occupancy
Zr1 Zr 0.155 0.345 0.000 1
Zr2 Zr 0.345 0.845 0.000 1
Zr3 Zr 0.655 0.155 0.000 1
Zr4 Zr 0.845 0.655 0.000 1
Fe1 Fe 0.148 0.648 0.500 1
Fe2 Fe 0.352 0.148 0.500 1
Fe3 Fe 0.648 0.852 0.500 1
Fe4 Fe 0.852 0.352 0.500 1
Tc1 Tc 0.000 0.000 0.000 1
Tc2 Tc 0.500 0.500 0.000 1
```

## Properties
Energy above the lowest structure with this stoichiometry, kJ/mol of formula units: 193.8
DFT formation energy, eV/atom: 0.34



Entry 6:
TlSbP2Se8 | PBE | relaxed

```
data_TlSbP2Se8
_space_group_name_H-M_alt 'P 1'
_space_group_IT_number 1
_space_group_name_Hall 'P 1'
_cell_length_a 10.443
_cell_length_b 10.443
_cell_length_c 10.443
_cell_angle_alpha 35.08
_cell_angle_beta 35.08
_cell_angle_gamma 35.08
loop_
_atom_site_label
_atom_site_type_symbol
_atom_site_fract_x
_atom_site_fract_y
_atom_site_fract_z
_atom_site_occupancy
Tl1 Tl 0.000 0.000 0.000 1
Sb1 Sb 0.500 0.500 0.500 1
P1 P 0.247 0.247 0.247 1
P2 P 0.753 0.753 0.753 1
Se1 Se 0.095 0.821 0.409 1
Se2 Se 0.179 0.591 0.905 1
Se3 Se 0.321 0.321 0.321 1
Se4 Se 0.409 0.095 0.821 1
Se5 Se 0.591 0.905 0.179 1
Se6 Se 0.679 0.679 0.679 1
Se7 Se 0.821 0.409 0.095 1
Se8 Se 0.905 0.179 0.591 1
```

## Properties
VASP energy, eV/atom: -3.79